No. 1
# VAg2Ru PBE-GGA relaxed
# energy relative to the elements: 0.0883 eV/atom
# space group: C2/m
data_VAg2Ru
_space_group_name_H-M_alt 'P 1'
_space_group_IT_number 1
_space_group_name_Hall 'P 1'
_cell_length_a 9.477
_cell_length_b 9.477
_cell_length_c 4.640
_cell_angle_alpha 98.21
_cell_angle_beta 98.21
_cell_angle_gamma 17.88
loop_
_atom_site_label
_atom_site_fract_x
_atom_site_fract_y
_atom_site_fract_z
V1 0.055 0.055 0.283
V2 0.945 0.945 0.717
Ag1 0.182 0.182 0.016
Ag2 0.317 0.317 0.483
Ag3 0.683 0.683 0.517
Ag4 0.818 0.818 0.984
Ru1 0.451 0.451 0.219
Ru2 0.549 0.549 0.781

---

No. 2
# Hf2CuPd8 PBE-GGA relaxed
# energy relative to the elements: -0.5210 eV/atom
# space group: C2/m
data_Hf2CuPd8
_space_group_name_H-M_alt 'P 1'
_space_group_IT_number 1
_space_group_name_Hall 'P 1'
_cell_length_a 7.684
_cell_length_b 7.684
_cell_length_c 6.022
_cell_angle_alpha 112.97
_cell_angle_beta 112.97
_cell_angle_gamma 33.79
loop_
_atom_site_label
_atom_site_fract_x
_atom_site_fract_y
_atom_site_fract_z
Hf1 0.190 0.190 0.189
Hf2 0.810 0.810 0.811
Cu1 0.500 0.500 0.500
Pd1 0.001 0.001 0.237
Pd2 0.178 0.178 0.679
Pd3 0.361 0.361 0.627
Pd4 0.362 0.362 0.094
Pd5 0.638 0.638 0.906
Pd6 0.639 0.639 0.373
Pd7 0.822 0.822 0.321
Pd8 0.999 0.999 0.763

---

No. 3
# AgAs2Br PBE-GGA relaxed
# formation energy (no corrections): -0.130 eV per atom
# space group: Cm
data_AgAs2Br
_space_group_name_H-M_alt 'P 1'
_space_group_IT_number 1
_space_group_name_Hall 'P 1'
_cell_length_a 3.819
_cell_length_b 3.819
_cell_length_c 8.140
_cell_angle_alpha 90.02
_cell_angle_beta 90.02
_cell_angle_gamma 60.01
loop_
_atom_site_label
_atom_site_fract_x
_atom_site_fract_y
_atom_site_fract_z
Ag1 0.000 0.000 0.000
As1 0.001 0.001 0.689
As2 0.668 0.668 0.527
Br1 0.334 0.334 0.201

---

Listing M_tot for the structures above in their given order: 0.00; 0.00; 0.00 μB/f.u..